[1]
# KLiBr2 | Alexandria | meta-GGA SCAN | single point on PBEsol structure
data_KLiBr2
_chemical_formula_sum 'K1 Li1 Br2'
_symmetry_space_group_name_H-M 'P 1 2/m 1'
_symmetry_Int_Tables_number 10
_cell_length_a 4.115
_cell_length_b 3.746
_cell_length_c 7.378
_cell_angle_alpha 90.00
_cell_angle_beta 97.91
_cell_angle_gamma 90.00
loop_
_symmetry_equiv_pos_as_xyz
'x,y,z'
'-x,-y,-z'
'-x,y,-z'
'x,-y,z'
loop_
_atom_site_label
_atom_site_fract_x
_atom_site_fract_y
_atom_site_fract_z
K1 0.000 0.000 0.000
Li1 0.500 0.000 0.500
Br1 0.430 0.500 0.738
# Total moment = 0.00 μB per formula unit
# Energy = -14.15 eV per atom


[2]
# K2LiBr | Alexandria | meta-GGA SCAN | single point on PBEsol structure
data_K2LiBr
_chemical_formula_sum 'K4 Li2 Br2'
_symmetry_space_group_name_H-M 'I m m m'
_symmetry_Int_Tables_number 71
_symmetry_space_group_name_Hall '-I 2 2'
_cell_length_a 4.346
_cell_length_b 8.002
_cell_length_c 11.579
_cell_angle_alpha 90.00
_cell_angle_beta 90.00
_cell_angle_gamma 90.00
loop_
_atom_site_label
_atom_site_fract_x
_atom_site_fract_y
_atom_site_fract_z
K1 0.000 0.000 0.192
Li1 0.000 0.500 0.000
Br1 0.000 0.500 0.500
# Total moment = 0.00 μB per formula unit
# Energy = -10.27 eV per atom


[3]
# KLiBr2 | Alexandria | meta-GGA SCAN | single point on PBEsol structure
data_KLiBr2
_chemical_formula_sum 'K3 Li3 Br6'
_symmetry_space_group_name_H-M 'R -3 m'
_symmetry_Int_Tables_number 166
_symmetry_space_group_name_Hall '-R 3 2"'
_cell_length_a 4.1551
_cell_length_b 4.1551
_cell_length_c 21.4434
_cell_angle_alpha 90.00
_cell_angle_beta 90.00
_cell_angle_gamma 120.00
loop_
_atom_site_label
_atom_site_fract_x
_atom_site_fract_y
_atom_site_fract_z
K1 0.0000 0.0000 0.0000
Li1 0.0000 0.0000 0.5000
Br1 0.0000 0.0000 0.2350
# Total moment = 0.00 μB per formula unit
# Energy = -14.19 eV per atom


[4]
# KLiBr2 | Alexandria | meta-GGA SCAN | single point on PBEsol structure
data_KLiBr2
_chemical_formula_sum 'K3 Li3 Br6'
_symmetry_space_group_name_H-M 'R 3 m'
_symmetry_Int_Tables_number 160
_symmetry_space_group_name_Hall 'R 3 -2"'
_cell_length_a 4.1073
_cell_length_b 4.1073
_cell_length_c 21.8951
_cell_angle_alpha 90.00
_cell_angle_beta 90.00
_cell_angle_gamma 120.00
loop_
_atom_site_label
_atom_site_fract_x
_atom_site_fract_y
_atom_site_fract_z
K1 0.0000 0.0000 0.0000
Li1 0.0000 0.0000 0.8309
Br1 0.0000 0.0000 0.2339
Br2 0.0000 0.0000 0.4313
# Total moment = 0.00 μB per formula unit
# Energy = -14.17 eV per atom


[5]
# K2LiSbBr6 | Alexandria | meta-GGA SCAN | single point on PBEsol structure
data_K2LiSbBr6
_chemical_formula_sum 'K8 Li4 Sb4 Br24'
_symmetry_space_group_name_H-M 'F m -3 m'
_symmetry_Int_Tables_number 225
_symmetry_space_group_name_Hall '-F 4 2 3'
_cell_length_a 10.830
_cell_length_b 10.830
_cell_length_c 10.830
_cell_angle_alpha 90.00
_cell_angle_beta 90.00
_cell_angle_gamma 90.00
loop_
_atom_site_label
_atom_site_fract_x
_atom_site_fract_y
_atom_site_fract_z
K1 0.250 0.250 0.250
Li1 0.000 0.000 0.000
Sb1 0.000 0.000 0.500
Br1 0.000 0.000 0.245
# Total moment = 0.00 μB per formula unit
# Energy = -18.64 eV per atom


[6]
# KLiSeBr2 | Alexandria | meta-GGA SCAN | single point on PBEsol structure
data_KLiSeBr2
_chemical_formula_sum 'K1 Li1 Se1 Br2'
_symmetry_space_group_name_H-M 'P 4/m m m'
_symmetry_Int_Tables_number 123
_symmetry_space_group_name_Hall '-P 4 2'
_cell_length_a 5.999
_cell_length_b 5.999
_cell_length_c 5.823
_cell_angle_alpha 90.00
_cell_angle_beta 90.00
_cell_angle_gamma 90.00
loop_
_atom_site_label
_atom_site_fract_x
_atom_site_fract_y
_atom_site_fract_z
K1 0.000 0.000 0.000
Li1 0.500 0.500 0.500
Se1 0.000 0.000 0.500
Br1 0.000 0.500 0.000
# Total moment = 2.00 μB per formula unit
# Energy = -14.36 eV per atom


[7]
# K2LiYBr6 | Alexandria | meta-GGA SCAN | single point on PBEsol structure
data_K2LiYBr6
_chemical_formula_sum 'K8 Li4 Y4 Br24'
_symmetry_space_group_name_H-M 'F m -3 m'
_symmetry_Int_Tables_number 225
_symmetry_space_group_name_Hall '-F 4 2 3'
_cell_length_a 10.783
_cell_length_b 10.783
_cell_length_c 10.783
_cell_angle_alpha 90.00
_cell_angle_beta 90.00
_cell_angle_gamma 90.00
loop_
_atom_site_label
_atom_site_fract_x
_atom_site_fract_y
_atom_site_fract_z
K1 0.250 0.250 0.250
Li1 0.000 0.000 0.000
Y1 0.000 0.000 0.500
Br1 0.000 0.000 0.246
# Total moment = 0.00 μB per formula unit
# Energy = -18.32 eV per atom


[8]
# K2MgBr | Alexandria | meta-GGA SCAN | single point on PBEsol structure
data_K2MgBr
_chemical_formula_sum 'K4 Mg2 Br2'
_symmetry_space_group_name_H-M 'C 1 2/m 1'
_symmetry_Int_Tables_number 12
_cell_length_a 7.312
_cell_length_b 4.260
_cell_length_c 10.604
_cell_angle_alpha 90.00
_cell_angle_beta 103.57
_cell_angle_gamma 90.00
loop_
_symmetry_equiv_pos_as_xyz
'x,y,z'
'-x,-y,-z'
'-x,y,-z'
'x,-y,z'
'x+1/2,y+1/2,z'
'-x+1/2,-y+1/2,-z'
'-x+1/2,y+1/2,-z'
'x+1/2,-y+1/2,z'
loop_
_atom_site_label
_atom_site_fract_x
_atom_site_fract_y
_atom_site_fract_z
K1 0.234 0.000 0.202
Mg1 0.000 0.000 0.500
Br1 0.000 0.500 0.000
# Total moment = 0.00 μB per formula unit
# Energy = -11.02 eV per atom